Entry 1:
Compound: Cs2RbRu
Source: Alexandria
Functional: PBE
Structure: optimized geometry

a b c (Å): 12.709 12.709 12.709
angles (deg): 90.00 90.00 90.00
Space group Fd-3m (No. 227, origin choice 2)
Unique sites:
Cs 0.000 0.000 0.000 [16 per cell]
Rb 0.125 0.125 0.625 [8 per cell]
Ru 0.125 0.125 0.125 [8 per cell]

Calculated values
The energy relative to the elements is 1022 meV/atom. As for the magnetization: 1.80 Bohr magnetons per cell. The value obtained for the final energy is -1.97 eV/atom.

Entry 2:
Compound: BaLaPb2
Source: Alexandria
Functional: PBE
Structure: optimized geometry

a b c (Å): 13.084 3.805 5.985
angles (deg): 90.00 100.31 90.00
Space group Cm (No. 8)
Unique sites:
Ba 0.000 0.000 0.000 [2 per cell]
La 0.256 0.000 0.445 [2 per cell]
Pb 0.032 0.500 0.516 [2 per cell]
Pb 0.235 0.500 0.929 [2 per cell]

Calculated values
The energy relative to the elements is -466 meV/atom. As for the magnetization: 0.60 Bohr magnetons per cell. The value obtained for the final energy is -4.03 eV/atom.